NaSc2Nb | PBE-GGA | optimized geometry

Results
DOS at the Fermi energy (states/eV/atom): 0.92
Electronic total energy (eV/atom): -5.493

Geometry as extended XYZ:
```
4
Lattice="0.000 3.566 3.566 3.566 0.000 3.566 3.566 3.566 0.000" Properties=species:S:1:pos:R:3 pbc="T T T"
Sc 1.783 1.783 1.783
Sc 5.349 5.349 5.349
Na 0.000 0.000 0.000
Nb 3.566 3.566 3.566
```